Record 1
A plane-wave DFT calculation with PBE was carried out for crystalline Y2HfGa2Rh5 at its relaxed geometry.

a = 9.9670 Å, b = 9.9670 Å, c = 3.5300 Å
α = 90.00°, β = 90.00°, γ = 90.00°
Last column: nearest neighbours and their distance in Å.
Space group P4/mbm (No. 127)
Unique sites:
Y 0.1727 0.3273 0.0000 x4  3 Ga 2.85-3.00, 6 Rh 3.01-3.15
Hf 0.0000 0.0000 0.0000 x2  8 Rh 2.78
Ga 0.1249 0.6249 0.0000 x4  6 Rh 2.49-2.51
Rh 0.0000 0.5000 0.5000 x2  4 Ga 2.49
Rh 0.0671 0.7946 0.5000 x8  2 Ga 2.51, 2 Hf 2.78

Computed properties:
- spin magnetization (μB/f.u.) = 0.0
- crystal system = tetragonal
- calculated total energy (eV/atom) = -7.4422
- ΔH_f (0 K) (meV per atom) = -873

=====

Record 2
A plane-wave DFT calculation with PBE was carried out for crystalline Hf3GaRu at its relaxed geometry.

a = 4.9642 Å, b = 4.9642 Å, c = 4.9642 Å
α = 90.00°, β = 90.00°, γ = 90.00°
Last column: nearest neighbours and their distance in Å.
Space group Pm-3m (No. 221)
Unique sites:
Hf 0.0000 0.0000 0.5000 x3  2 Ga 2.48
Ga 0.0000 0.0000 0.0000 x1  6 Hf 2.48
Ru 0.5000 0.5000 0.5000 x1  12 Hf 3.51

Computed properties:
- spin magnetization (μB/f.u.) = 0.0
- crystal system = cubic
- calculated total energy (eV/atom) = -7.4930
- ΔH_f (0 K) (meV per atom) = 940